# PBE Mo3SCl, relaxed
data_Mo3SCl
_space_group_name_H-M_alt 'P 1'
_space_group_IT_number 1
_space_group_name_Hall 'P 1'
_cell_length_a 4.495
_cell_length_b 4.495
_cell_length_c 4.495
_cell_angle_alpha 90.00
_cell_angle_beta 90.00
_cell_angle_gamma 90.00
loop_
_atom_site_label
_atom_site_type_symbol
_atom_site_fract_x
_atom_site_fract_y
_atom_site_fract_z
_atom_site_occupancy
Mo1 Mo 0.000 0.000 0.500 1
Mo2 Mo 0.000 0.500 0.000 1
Mo3 Mo 0.500 0.000 0.000 1
S1 S 0.000 0.000 0.000 1
Cl1 Cl 0.500 0.500 0.500 1
# space group = Pm-3m, No. 221



# PBE SrTl2Si2, relaxed
data_SrTl2Si2
_space_group_name_H-M_alt 'P 1'
_space_group_IT_number 1
_space_group_name_Hall 'P 1'
_cell_length_a 10.087
_cell_length_b 10.087
_cell_length_c 10.087
_cell_angle_alpha 159.06
_cell_angle_beta 159.06
_cell_angle_gamma 29.78
loop_
_atom_site_label
_atom_site_type_symbol
_atom_site_fract_x
_atom_site_fract_y
_atom_site_fract_z
_atom_site_occupancy
Sr1 Sr 0.000 0.000 0.000 1
Tl1 Tl 0.377 0.377 0.000 1
Tl2 Tl 0.623 0.623 0.000 1
Si1 Si 0.250 0.750 0.500 1
Si2 Si 0.750 0.250 0.500 1
# space group = I4/mmm, No. 139



| no. | offset from the most stable computed form (eV/atom) | total magnetization (μB/atom) |
| --- | --- | --- |
| 1 | 0.000 | 0.000 |
| 2 | 0.145 | 0.000 |